DFT (GGA-PBE) results for a relaxed GdPu2Pa crystal.

a b c (Å): 3.364 3.364 9.359
angles (deg): 90.00 90.00 90.00
Fractional positions:
1 Pu 0.000 0.000 0.221
2 Pu 0.000 0.000 0.779
3 Gd 0.500 0.500 0.500
4 Pa 0.500 0.500 0.000

Computed properties:
Calculated volume   26.5 Å³ per atom
Calculated density   13.741 g cm⁻³
Formation energy   0.51 eV/f.u.
Magnetization   4.566 μB/atom
Calculated total energy   -12.932 eV per atom